# 1
Entry from the Alexandria database: a relaxed structure of AcHgAs2O8 (PBE-GGA).

Geometry as POSCAR:
```
AcHgAs2O8
1.0
6.319 0.004 0.000
-2.799 5.665 0.000
-1.760 -2.834 5.367
O As Ac Hg
8 2 1 1
Direct
0.337 0.160 0.823
0.840 0.663 0.177
0.410 0.084 0.326
0.916 0.242 0.326
0.916 0.590 0.674
0.487 0.663 0.823
0.758 0.084 0.674
0.337 0.513 0.177
0.750 0.250 0.500
0.500 0.500 0.000
0.000 0.000 0.000
0.250 0.750 0.500
```

Values from the calculation:
Magnetic moment in μB per atom: 0.09
Uncorrected formation energy in eV/atom: -1.44
Space-group type: No. 119

***

# 2
Entry from the Alexandria database: a relaxed structure of AcHg2AsO8 (PBE-GGA).

Geometry as POSCAR:
```
AcHg2AsO8
1.0
-3.783 -2.601 2.795
0.775 -1.153 -5.192
4.494 -4.695 1.713
O As Ac Hg
8 1 1 2
Direct
0.158 0.842 0.165
0.333 0.667 0.564
0.316 0.158 0.835
0.684 0.842 0.165
0.842 0.158 0.835
0.667 0.333 0.436
0.842 0.684 0.835
0.158 0.316 0.165
0.000 0.000 0.000
0.000 0.000 0.500
0.667 0.333 0.121
0.333 0.667 0.879
```

Values from the calculation:
Magnetic moment in μB per atom: 0.33
Uncorrected formation energy in eV/atom: -0.69
Space-group type: No. 164

***

# 3
Entry from the Alexandria database: a relaxed structure of Ac2HgAsO5 (PBE-GGA).

Geometry as POSCAR:
```
Ac2HgAsO5
1.0
-5.052 1.024 -5.360
-3.767 -5.939 2.416
1.313 5.875 5.043
O Ac As Hg
10 4 2 2
Direct
0.000 0.000 0.000
0.500 0.500 0.000
0.252 0.752 0.259
0.493 0.748 0.741
0.748 0.248 0.741
0.507 0.252 0.259
0.752 0.007 0.259
0.248 0.993 0.741
0.993 0.493 0.741
0.007 0.507 0.259
0.690 0.190 0.000
0.310 0.810 0.000
0.810 0.690 0.000
0.190 0.310 0.000
0.750 0.250 0.500
0.250 0.750 0.500
0.750 0.750 0.500
0.250 0.250 0.500
```

Values from the calculation:
Magnetic moment in μB per atom: 0.10
Uncorrected formation energy in eV/atom: -1.98
Space-group type: No. 140